(1)
Material: TbAs2O
Method: DFT, PBE
State: optimized geometry

Values from the calculation:
- uncorrected energy (eV per atom) = -5.91
- E above lowest polymorph (meV per atom) = 239
- spin magnetization (μB per cell) = 0.004

Unit cell a=3.5877 b=5.8914 c=8.5459 alpha=90.00 beta=90.00 gamma=90.00
Element x y z (fractional)
Tb: 0.0000 0.2426 0.0000
Tb: 0.0000 0.7574 0.5000
As: 0.0000 0.2522 0.3613
As: 0.0000 0.7478 0.8613
As: 0.5000 0.2558 0.5551
As: 0.5000 0.7442 0.0551
O: 0.5000 0.2456 0.8763
O: 0.5000 0.7544 0.3763

***

(2)
Material: TbAs2O
Method: DFT, PBE
State: optimized geometry

Values from the calculation:
- uncorrected energy (eV per atom) = -6.15
- E above lowest polymorph (meV per atom) = 0
- spin magnetization (μB per cell) = 0.012

Unit cell a=3.8435 b=3.8435 c=10.5102 alpha=90.00 beta=90.00 gamma=90.00
Element x y z (fractional)
Tb: 0.2500 0.2500 0.1093
Tb: 0.7500 0.7500 0.8907
As: 0.2500 0.2500 0.7139
As: 0.2500 0.7500 0.5000
As: 0.7500 0.2500 0.5000
As: 0.7500 0.7500 0.2861
O: 0.2500 0.7500 0.0000
O: 0.7500 0.2500 0.0000

***

(3)
Material: Tb2As2O5
Method: DFT, PBE
State: optimized geometry

Values from the calculation:
- uncorrected energy (eV per atom) = -6.60
- spin magnetization (μB per cell) = 0.002

Unit cell a=3.7172 b=3.7172 c=9.3707 alpha=90.00 beta=90.00 gamma=90.00
Element x y z (fractional)
Tb: 0.0000 0.0000 0.2451
Tb: 0.0000 0.0000 0.7549
As: 0.5000 0.5000 0.0000
As: 0.5000 0.5000 0.5000
O: 0.0000 0.0000 0.0000
O: 0.0000 0.5000 0.3667
O: 0.0000 0.5000 0.6333
O: 0.5000 0.0000 0.3667
O: 0.5000 0.0000 0.6333

***

(4)
Material: TbAs2O
Method: DFT, PBE
State: optimized geometry

Values from the calculation:
- uncorrected energy (eV per atom) = -6.14
- E above lowest polymorph (meV per atom) = 7
- spin magnetization (μB per cell) = 0.009

Unit cell a=3.8958 b=3.8958 c=10.1278 alpha=90.00 beta=90.00 gamma=90.00
Element x y z (fractional)
Tb: 0.2500 0.2500 0.1111
Tb: 0.7500 0.7500 0.8889
As: 0.2500 0.2500 0.7145
As: 0.2500 0.7500 0.5000
As: 0.7500 0.2500 0.5000
As: 0.7500 0.7500 0.2855
O: 0.2500 0.7500 0.0000
O: 0.7500 0.2500 0.0000

***

(5)
Material: TbAs2O
Method: DFT, PBE
State: optimized geometry

Values from the calculation:
- uncorrected energy (eV per atom) = -5.12
- E above lowest polymorph (meV per atom) = 1031
- spin magnetization (μB per cell) = 0.004

Unit cell a=4.6935 b=4.6935 c=7.1772 alpha=90.00 beta=90.00 gamma=90.00
Element x y z (fractional)
Tb: 0.2500 0.7500 0.0000
Tb: 0.7500 0.2500 0.0000
As: 0.2500 0.2500 0.2081
As: 0.2500 0.2500 0.5535
As: 0.7500 0.7500 0.4465
As: 0.7500 0.7500 0.7919
O: 0.2500 0.7500 0.5000
O: 0.7500 0.2500 0.5000

***

(6)
Material: Tb2AsO4
Method: DFT, PBE
State: optimized geometry

Values from the calculation:
- uncorrected energy (eV per atom) = -7.16
- spin magnetization (μB per cell) = 1.792

Unit cell a=6.7742 b=6.7742 c=6.7742 alpha=60.00 beta=60.00 gamma=60.00
Element x y z (fractional)
Tb: 0.0000 0.0000 0.0000
Tb: 0.0000 0.0000 0.5000
Tb: 0.0000 0.5000 0.0000
Tb: 0.5000 0.0000 0.0000
As: 0.3750 0.3750 0.3750
As: 0.6250 0.6250 0.6250
O: 0.2175 0.7608 0.7608
O: 0.2392 0.2392 0.2392
O: 0.2392 0.2392 0.7825
O: 0.2392 0.7825 0.2392
O: 0.7608 0.2175 0.7608
O: 0.7608 0.7608 0.2175
O: 0.7608 0.7608 0.7608
O: 0.7825 0.2392 0.2392

***

(7)
Material: TbTcAsO
Method: DFT, PBE
State: optimized geometry

Values from the calculation:
- uncorrected energy (eV per atom) = -7.46
- E above lowest polymorph (meV per atom) = 468
- spin magnetization (μB per cell) = 0.096

Unit cell a=4.2978 b=4.3716 c=6.9380 alpha=90.00 beta=90.00 gamma=90.00
Element x y z (fractional)
Tb: 0.0000 0.2216 0.0000
Tb: 0.0000 0.7784 0.5000
Tc: 0.5000 0.3074 0.3416
Tc: 0.5000 0.6926 0.8416
As: 0.5000 0.1958 0.6834
As: 0.5000 0.8042 0.1834
O: 0.0000 0.2938 0.3364
O: 0.0000 0.7062 0.8364

***

(8)
Material: TbTcAsO
Method: DFT, PBE
State: optimized geometry

Values from the calculation:
- uncorrected energy (eV per atom) = -7.93
- E above lowest polymorph (meV per atom) = 0
- spin magnetization (μB per cell) = 0.015

Unit cell a=3.9589 b=3.9589 c=8.5588 alpha=90.00 beta=90.00 gamma=90.00
Element x y z (fractional)
Tb: 0.2500 0.2500 0.1290
Tb: 0.7500 0.7500 0.8710
Tc: 0.2500 0.7500 0.5000
Tc: 0.7500 0.2500 0.5000
As: 0.2500 0.2500 0.6785
As: 0.7500 0.7500 0.3215
O: 0.2500 0.7500 0.0000
O: 0.7500 0.2500 0.0000

***

(9)
Material: TbTcAsO
Method: DFT, PBE
State: optimized geometry

Values from the calculation:
- uncorrected energy (eV per atom) = -6.32
- E above lowest polymorph (meV per atom) = 1617
- spin magnetization (μB per cell) = 2.636

Unit cell a=4.2347 b=4.2347 c=9.2184 alpha=90.00 beta=90.00 gamma=90.00
Element x y z (fractional)
Tb: 0.2500 0.7500 0.0000
Tb: 0.7500 0.2500 0.0000
Tc: 0.2500 0.2500 0.4718
Tc: 0.7500 0.7500 0.5282
As: 0.2500 0.2500 0.2131
As: 0.7500 0.7500 0.7869
O: 0.2500 0.7500 0.5000
O: 0.7500 0.2500 0.5000

***

(10)
Material: TbTcAsO
Method: DFT, PBE
State: optimized geometry

Values from the calculation:
- uncorrected energy (eV per atom) = -7.38
- E above lowest polymorph (meV per atom) = 554
- spin magnetization (μB per cell) = 0.028

Unit cell a=4.1051 b=6.2066 c=5.6780 alpha=90.00 beta=90.00 gamma=90.00
Element x y z (fractional)
Tb: 0.0000 0.1768 0.0000
Tb: 0.0000 0.8232 0.5000
Tc: 0.5000 0.4648 0.7673
Tc: 0.5000 0.5352 0.2673
As: 0.0000 0.3160 0.5123
As: 0.0000 0.6840 0.0123
O: 0.5000 0.2552 0.0638
O: 0.5000 0.7448 0.5638

***

(11)
Material: TbTeAsO6
Method: DFT, PBE
State: optimized geometry

Values from the calculation:
- uncorrected energy (eV per atom) = -6.37
- spin magnetization (μB per cell) = 0.001

Unit cell a=5.2986 b=5.2986 c=9.6193 alpha=90.00 beta=90.00 gamma=120.00
Element x y z (fractional)
Tb: 0.0000 0.0000 0.0000
Tb: 0.0000 0.0000 0.5000
Te: 0.3333 0.6667 0.2500
Te: 0.6667 0.3333 0.7500
As: 0.3333 0.6667 0.7500
As: 0.6667 0.3333 0.2500
O: 0.0281 0.3691 0.1354
O: 0.0281 0.6590 0.3646
O: 0.3410 0.3691 0.3646
O: 0.3410 0.9719 0.1354
O: 0.3691 0.0281 0.6354
O: 0.3691 0.3410 0.8646
O: 0.6309 0.6590 0.1354
O: 0.6309 0.9719 0.3646
O: 0.6590 0.0281 0.8646
O: 0.6590 0.6309 0.6354
O: 0.9719 0.3410 0.6354
O: 0.9719 0.6309 0.8646

***

(12)
Material: TbZnAsO
Method: DFT, PBE
State: optimized geometry

Values from the calculation:
- uncorrected energy (eV per atom) = -5.34
- spin magnetization (μB per cell) = 0.003

Unit cell a=3.8578 b=5.9154 c=6.7302 alpha=90.00 beta=90.00 gamma=90.00
Element x y z (fractional)
Tb: 0.0000 0.0509 0.0000
Tb: 0.0000 0.9491 0.5000
Zn: 0.5000 0.3792 0.3626
Zn: 0.5000 0.6208 0.8626
As: 0.5000 0.2408 0.7217
As: 0.5000 0.7592 0.2217
O: 0.0000 0.2423 0.2831
O: 0.0000 0.7577 0.7831